Version A
A plane-wave DFT calculation with PBE was carried out for crystalline ScTcGe at its relaxed geometry.

Cell lengths 5.5118, 4.2820, 9.0237 Å; angles 90.00, 104.79, 90.00 degrees
Atoms (fractional coordinates):
Sc  0.5295  0.0000  0.3205
Sc  0.5295  0.5000  0.8205
Sc  0.1664  0.0000  0.5843
Sc  0.1664  0.5000  0.0843
Tc  0.0010  0.0000  0.2733
Tc  0.0010  0.5000  0.7733
Tc  0.8229  0.0000  0.9827
Tc  0.8229  0.5000  0.4827
Ge  0.2481  0.0000  0.9013
Ge  0.2481  0.5000  0.4013
Ge  0.7147  0.0000  0.6644
Ge  0.7147  0.5000  0.1644

Values from the calculation:
* calculated volume: 205.9 Å³/cell
* space-group type: Cm (8)

---

Version B
A plane-wave DFT calculation with PBE was carried out for crystalline ScTcGe at its relaxed geometry.

Cell lengths 3.5527, 3.5527, 8.9671 Å; angles 101.43, 101.43, 90.00 degrees
Atoms (fractional coordinates):
Ge  0.6604  0.6604  0.3207
Ge  0.9104  0.4104  0.8207
Sc  0.3311  0.8311  0.6621
Sc  0.0811  0.0811  0.1621
Tc  0.5086  0.5086  0.0172
Tc  0.7586  0.2586  0.5172

Values from the calculation:
* calculated volume: 108.6 Å³/cell
* space-group type: I4_1md (109)

---

Version C
A plane-wave DFT calculation with PBE was carried out for crystalline ScTcGe at its relaxed geometry.

Cell lengths 6.7477, 4.2254, 9.6788 Å; angles 90.00, 129.65, 90.00 degrees
Atoms (fractional coordinates):
Sc  0.6916  0.0000  0.4450
Sc  0.3084  0.0000  0.5550
Sc  0.6916  0.5000  0.9450
Sc  0.3084  0.5000  0.0550
Tc  0.0770  0.0000  0.1523
Tc  0.9230  0.0000  0.8477
Tc  0.0770  0.5000  0.6523
Tc  0.9230  0.5000  0.3477
Ge  0.2849  0.0000  0.8324
Ge  0.7151  0.0000  0.1676
Ge  0.2849  0.5000  0.3325
Ge  0.7151  0.5000  0.6676

Values from the calculation:
* calculated volume: 212.5 Å³/cell
* space-group type: C2/m (12)

---

Version D
A plane-wave DFT calculation with PBE was carried out for crystalline ScTcGe at its relaxed geometry.

Cell lengths 9.5683, 4.9862, 8.3364 Å; angles 90.00, 90.00, 90.00 degrees
Atoms (fractional coordinates):
Sc  0.0000  0.0000  0.3088
Sc  0.2500  0.2500  0.5588
Sc  0.0000  0.5000  0.8088
Sc  0.2500  0.7500  0.0588
Sc  0.5000  0.0000  0.8088
Sc  0.7500  0.2500  0.0588
Sc  0.5000  0.5000  0.3088
Sc  0.7500  0.7500  0.5588
Tc  0.0000  0.0000  0.9765
Tc  0.2500  0.2500  0.2265
Tc  0.0000  0.5000  0.4765
Tc  0.2500  0.7500  0.7265
Tc  0.5000  0.0000  0.4765
Tc  0.7500  0.2500  0.7265
Tc  0.5000  0.5000  0.9765
Tc  0.7500  0.7500  0.2265
Ge  0.0000  0.0000  0.6516
Ge  0.2500  0.2500  0.9016
Ge  0.0000  0.5000  0.1516
Ge  0.2500  0.7500  0.4016
Ge  0.5000  0.0000  0.1516
Ge  0.7500  0.2500  0.4016
Ge  0.5000  0.5000  0.6516
Ge  0.7500  0.7500  0.9016

Values from the calculation:
* calculated volume: 397.7 Å³/cell
* space-group type: Fdd2 (43)

---

What is the stability order? It is version C, version A, version D, version B, from most stable to least stable.

---

Version A
A plane-wave DFT calculation with PBE was carried out for crystalline ScTcGe at its relaxed geometry.

Cell lengths 3.8813, 3.8813, 6.9907 Å; angles 90.00, 90.00, 90.00 degrees
Atoms (fractional coordinates):
Sc  0.0000  0.5000  0.8421
Sc  0.5000  0.0000  0.1579
Tc  0.5000  0.5000  0.5000
Tc  0.0000  0.0000  0.5000
Ge  0.0000  0.5000  0.2487
Ge  0.5000  0.0000  0.7513

Values from the calculation:
* calculated volume: 105.3 Å³/cell
* space-group type: P4/nmm (129)

---

Version B
A plane-wave DFT calculation with PBE was carried out for crystalline ScTcGe at its relaxed geometry.

Cell lengths 7.1285, 3.3817, 10.3406 Å; angles 90.00, 123.56, 90.00 degrees
Atoms (fractional coordinates):
Sc  0.7110  0.0000  0.9338
Sc  0.2890  0.0000  0.0662
Sc  0.7110  0.5000  0.4338
Sc  0.2890  0.5000  0.5662
Tc  0.0567  0.0000  0.6684
Tc  0.9433  0.0000  0.3316
Tc  0.0567  0.5000  0.1684
Tc  0.9433  0.5000  0.8316
Ge  0.3271  0.0000  0.3538
Ge  0.6729  0.0000  0.6462
Ge  0.3271  0.5000  0.8538
Ge  0.6729  0.5000  0.1462

Values from the calculation:
* calculated volume: 207.7 Å³/cell
* space-group type: C2/m (12)

---

What is the stability order? It is version A, version B, from most stable to least stable.

---

Version A
A plane-wave DFT calculation with PBE was carried out for crystalline ScTcGe at its relaxed geometry.

Cell lengths 3.3806, 11.1872, 6.4466 Å; angles 90.00, 121.07, 90.00 degrees
Atoms (fractional coordinates):
Sc  0.0000  0.3129  0.0000
Sc  0.0000  0.6871  0.0000
Sc  0.0000  0.8129  0.5000
Sc  0.0000  0.1871  0.5000
Tc  0.7274  0.0000  0.7241
Tc  0.2726  0.0000  0.2759
Tc  0.7274  0.5000  0.2241
Tc  0.2726  0.5000  0.7759
Ge  0.5000  0.6187  0.5000
Ge  0.5000  0.3813  0.5000
Ge  0.5000  0.1187  0.0000
Ge  0.5000  0.8813  0.0000

Values from the calculation:
* calculated volume: 208.8 Å³/cell
* space-group type: C2/m (12)

---

Version B
A plane-wave DFT calculation with PBE was carried out for crystalline ScTcGe at its relaxed geometry.

Cell lengths 6.3394, 4.3818, 7.6478 Å; angles 90.00, 90.00, 90.00 degrees
Atoms (fractional coordinates):
Sc  0.0000  0.5000  0.3874
Sc  0.5000  0.0000  0.8874
Sc  0.0000  0.0000  0.7957
Sc  0.5000  0.5000  0.2957
Tc  0.8174  0.0000  0.1703
Tc  0.1826  0.0000  0.1703
Tc  0.3174  0.5000  0.6703
Tc  0.6826  0.5000  0.6703
Ge  0.2751  0.0000  0.4967
Ge  0.7249  0.0000  0.4967
Ge  0.7751  0.5000  0.9967
Ge  0.2249  0.5000  0.9967

Values from the calculation:
* calculated volume: 212.4 Å³/cell
* space-group type: Imm2 (44)

---

Version C
A plane-wave DFT calculation with PBE was carried out for crystalline ScTcGe at its relaxed geometry.

Cell lengths 3.4632, 7.0851, 7.0851 Å; angles 120.00, 90.00, 90.00 degrees
Atoms (fractional coordinates):
Sc  0.5000  0.3888  0.3888
Sc  0.5000  0.0000  0.6112
Sc  0.5000  0.6112  0.0000
Tc  0.0000  0.7381  0.7381
Tc  0.0000  0.0000  0.2619
Tc  0.0000  0.2619  0.0000
Ge  0.0000  0.3333  0.6667
Ge  0.0000  0.6667  0.3333
Ge  0.5000  0.0000  0.0000

Values from the calculation:
* calculated volume: 150.6 Å³/cell
* space-group type: P-62m (189)

---

What is the stability order? It is version C, version A, version B, from most stable to least stable.